Entry from Alexandria via LeMat-Bulk: a relaxed Nd6Nb4Al43 crystal (PBEsol).

## Properties
Energy ... -5.05 eV/atom
Calculated volume ... 958.2 Å³/f.u.
Spin magnetization ... 0.00 μB/atom
ΔH_f (0 K) ... -332 meV per atom

Lattice parameters (Å, degrees): 11.1055 11.1055 17.9431 90.00 90.00 120.00
Closest atoms and distances in Å follow each position.
Sites, in units of the cell vectors:
Nd (0.0000, 0.4706, 0.0955)  14 Al 3.08-3.42
Nd (0.0000, 0.4706, 0.4045)  14 Al 3.08-3.42
Nd (0.0000, 0.5294, 0.5955)  14 Al 3.08-3.42
Nd (0.0000, 0.5294, 0.9045)  14 Al 3.08-3.42
Nd (0.4706, 0.0000, 0.0955)  14 Al 3.08-3.42
Nd (0.4706, 0.0000, 0.4045)  14 Al 3.08-3.42
Nd (0.4706, 0.4706, 0.5955)  14 Al 3.08-3.42
Nd (0.4706, 0.4706, 0.9045)  14 Al 3.08-3.42
Nd (0.5294, 0.0000, 0.5955)  14 Al 3.08-3.42
Nd (0.5294, 0.0000, 0.9045)  14 Al 3.08-3.42
Nd (0.5294, 0.5294, 0.0955)  14 Al 3.08-3.42
Nd (0.5294, 0.5294, 0.4045)  14 Al 3.08-3.42
Nb (0.0000, 0.0000, 0.0000)  12 Al 2.72-2.86
Nb (0.0000, 0.0000, 0.5000)  12 Al 2.72-2.86
Nb (0.0000, 0.2714, 0.2500)  10 Al 2.61-2.74
Nb (0.0000, 0.7286, 0.7500)  10 Al 2.61-2.74
Nb (0.2714, 0.0000, 0.2500)  10 Al 2.61-2.74
Nb (0.2714, 0.2714, 0.7500)  10 Al 2.61-2.74
Nb (0.7286, 0.0000, 0.7500)  10 Al 2.61-2.74
Nb (0.7286, 0.7286, 0.2500)  10 Al 2.61-2.74
Al (0.0000, 0.1478, 0.7500)  2 Nb 2.61, 6 Al 2.84-2.85
Al (0.0000, 0.1584, 0.1155)  2 Nb 2.72, 7 Al 2.76-2.95
Al (0.0000, 0.1584, 0.3845)  2 Nb 2.72, 7 Al 2.76-2.95
Al (0.0000, 0.2534, 0.5298)  9 Al 2.77-3.01, 1 Nb 2.86
Al (0.0000, 0.2534, 0.9702)  9 Al 2.77-3.01, 1 Nb 2.86
Al (0.0000, 0.7466, 0.0298)  9 Al 2.77-3.01, 1 Nb 2.86
Al (0.0000, 0.7466, 0.4702)  9 Al 2.77-3.01, 1 Nb 2.86
Al (0.0000, 0.8416, 0.6155)  2 Nb 2.72, 7 Al 2.76-2.95
Al (0.0000, 0.8416, 0.8845)  2 Nb 2.72, 7 Al 2.76-2.95
Al (0.0000, 0.8522, 0.2500)  2 Nb 2.61, 6 Al 2.84-2.85
Al (0.1478, 0.0000, 0.7500)  2 Nb 2.61, 6 Al 2.84-2.85
Al (0.1478, 0.1478, 0.2500)  2 Nb 2.61, 6 Al 2.84-2.85
Al (0.1502, 0.5544, 0.2500)  1 Nb 2.72, 7 Al 2.76-2.89
Al (0.1502, 0.5958, 0.7500)  1 Nb 2.72, 7 Al 2.76-2.89
Al (0.1584, 0.0000, 0.1155)  2 Nb 2.72, 7 Al 2.76-2.95
Al (0.1584, 0.0000, 0.3845)  2 Nb 2.72, 7 Al 2.76-2.95
Al (0.1584, 0.1584, 0.6155)  2 Nb 2.72, 7 Al 2.76-2.95
Al (0.1584, 0.1584, 0.8845)  2 Nb 2.72, 7 Al 2.76-2.95
Al (0.1583, 0.3942, 0.6641)  7 Al 2.74-3.04, 1 Nb 2.74
Al (0.1583, 0.3942, 0.8359)  7 Al 2.74-3.04, 1 Nb 2.74
Al (0.1583, 0.7641, 0.1641)  7 Al 2.74-3.04, 1 Nb 2.74
Al (0.1583, 0.7641, 0.3359)  7 Al 2.74-3.04, 1 Nb 2.74
Al (0.2359, 0.3942, 0.1641)  7 Al 2.74-3.04, 1 Nb 2.74
Al (0.2359, 0.3942, 0.3359)  7 Al 2.74-3.04, 1 Nb 2.74
Al (0.2359, 0.8417, 0.6641)  7 Al 2.74-3.04, 1 Nb 2.74
Al (0.2359, 0.8417, 0.8359)  7 Al 2.74-3.04, 1 Nb 2.74
Al (0.2473, 0.4947, 0.0000)  6 Al 2.77-2.87
Al (0.2473, 0.4947, 0.5000)  6 Al 2.77-2.87
Al (0.2473, 0.7527, 0.0000)  6 Al 2.77-2.87
Al (0.2473, 0.7527, 0.5000)  6 Al 2.77-2.87
Al (0.2534, 0.0000, 0.5298)  9 Al 2.77-3.01, 1 Nb 2.86
Al (0.2534, 0.0000, 0.9702)  9 Al 2.77-3.01, 1 Nb 2.86
Al (0.2534, 0.2534, 0.0298)  9 Al 2.77-3.01, 1 Nb 2.86
Al (0.2534, 0.2534, 0.4702)  9 Al 2.77-3.01, 1 Nb 2.86
Al (0.3333, 0.6667, 0.1260)  9 Al 2.74-2.85
Al (0.3333, 0.6667, 0.3740)  9 Al 2.74-2.85
Al (0.3333, 0.6667, 0.6260)  9 Al 2.74-2.85
Al (0.3333, 0.6667, 0.8740)  9 Al 2.74-2.85
Al (0.3942, 0.1583, 0.6641)  7 Al 2.74-3.04, 1 Nb 2.74
Al (0.3942, 0.1583, 0.8359)  7 Al 2.74-3.04, 1 Nb 2.74
Al (0.3942, 0.2359, 0.1641)  7 Al 2.74-3.04, 1 Nb 2.74
Al (0.3942, 0.2359, 0.3359)  7 Al 2.74-3.04, 1 Nb 2.74
Al (0.4042, 0.5544, 0.7500)  1 Nb 2.72, 7 Al 2.76-2.89
Al (0.4042, 0.8498, 0.2500)  1 Nb 2.72, 7 Al 2.76-2.89
Al (0.4456, 0.5958, 0.2500)  1 Nb 2.72, 7 Al 2.76-2.89
Al (0.4456, 0.8498, 0.7500)  1 Nb 2.72, 7 Al 2.76-2.89
Al (0.4947, 0.2473, 0.0000)  6 Al 2.77-2.87
Al (0.4947, 0.2473, 0.5000)  6 Al 2.77-2.87
Al (0.5053, 0.7527, 0.0000)  6 Al 2.77-2.87
Al (0.5053, 0.7527, 0.5000)  6 Al 2.77-2.87
Al (0.5544, 0.1502, 0.2500)  1 Nb 2.72, 7 Al 2.76-2.89
Al (0.5544, 0.4042, 0.7500)  1 Nb 2.72, 7 Al 2.76-2.89
Al (0.5958, 0.1502, 0.7500)  1 Nb 2.72, 7 Al 2.76-2.89
Al (0.5958, 0.4456, 0.2500)  1 Nb 2.72, 7 Al 2.76-2.89
Al (0.6058, 0.7641, 0.6641)  7 Al 2.74-3.04, 1 Nb 2.74
Al (0.6058, 0.7641, 0.8359)  7 Al 2.74-3.04, 1 Nb 2.74
Al (0.6058, 0.8417, 0.1641)  7 Al 2.74-3.04, 1 Nb 2.74
Al (0.6058, 0.8417, 0.3359)  7 Al 2.74-3.04, 1 Nb 2.74
Al (0.6667, 0.3333, 0.1260)  9 Al 2.74-2.85
Al (0.6667, 0.3333, 0.3740)  9 Al 2.74-2.85
Al (0.6667, 0.3333, 0.6260)  9 Al 2.74-2.85
Al (0.6667, 0.3333, 0.8740)  9 Al 2.74-2.85
Al (0.7466, 0.0000, 0.0298)  9 Al 2.77-3.01, 1 Nb 2.86
Al (0.7466, 0.0000, 0.4702)  9 Al 2.77-3.01, 1 Nb 2.86
Al (0.7466, 0.7466, 0.5298)  9 Al 2.77-3.01, 1 Nb 2.86
Al (0.7466, 0.7466, 0.9702)  9 Al 2.77-3.01, 1 Nb 2.86
Al (0.7527, 0.2473, 0.0000)  6 Al 2.77-2.87
Al (0.7527, 0.2473, 0.5000)  6 Al 2.77-2.87
Al (0.7527, 0.5053, 0.0000)  6 Al 2.77-2.87
Al (0.7527, 0.5053, 0.5000)  6 Al 2.77-2.87
Al (0.7641, 0.1583, 0.1641)  7 Al 2.74-3.04, 1 Nb 2.74
Al (0.7641, 0.1583, 0.3359)  7 Al 2.74-3.04, 1 Nb 2.74
Al (0.7641, 0.6058, 0.6641)  7 Al 2.74-3.04, 1 Nb 2.74
Al (0.7641, 0.6058, 0.8359)  7 Al 2.74-3.04, 1 Nb 2.74
Al (0.8416, 0.0000, 0.6155)  2 Nb 2.72, 7 Al 2.76-2.95
Al (0.8416, 0.0000, 0.8845)  2 Nb 2.72, 7 Al 2.76-2.95
Al (0.8417, 0.2359, 0.6641)  7 Al 2.74-3.04, 1 Nb 2.74
Al (0.8417, 0.2359, 0.8359)  7 Al 2.74-3.04, 1 Nb 2.74
Al (0.8417, 0.6058, 0.1641)  7 Al 2.74-3.04, 1 Nb 2.74
Al (0.8417, 0.6058, 0.3359)  7 Al 2.74-3.04, 1 Nb 2.74
Al (0.8416, 0.8416, 0.1155)  2 Nb 2.72, 7 Al 2.76-2.95
Al (0.8416, 0.8416, 0.3845)  2 Nb 2.72, 7 Al 2.76-2.95
Al (0.8498, 0.4042, 0.2500)  1 Nb 2.72, 7 Al 2.76-2.89
Al (0.8498, 0.4456, 0.7500)  1 Nb 2.72, 7 Al 2.76-2.89
Al (0.8522, 0.0000, 0.2500)  2 Nb 2.61, 6 Al 2.84-2.85
Al (0.8522, 0.8522, 0.7500)  2 Nb 2.61, 6 Al 2.84-2.85